Material: LiPm2ZrS4
Method: DFT, PBE
State: optimized geometry

Cell lengths 3.8859, 6.7984, 6.5827 Å; angles 109.31, 90.00, 90.00 degrees
With the nearest neighbours (Å) after each atom.
Atoms (fractional coordinates):
Pm1 0.0000 0.5000 0.5000  6 S 2.83-2.84
Pm2 0.5000 0.0000 0.5000  6 S 2.82
S1 0.0000 0.2540 0.7753  1 Li 2.62, 2 Zr 2.67, 3 Pm 2.82-2.84
S2 0.5000 0.7571 0.7734  1 Zr 2.65, 2 Li 2.66, 3 Pm 2.82-2.83
S3 0.5000 0.2429 0.2266  1 Zr 2.65, 2 Li 2.66, 3 Pm 2.82-2.83
S4 0.0000 0.7460 0.2247  1 Li 2.62, 2 Zr 2.67, 3 Pm 2.82-2.84
Li1 0.0000 0.0000 0.0000  6 S 2.62-2.66
Zr1 0.5000 0.5000 0.0000  6 S 2.65-2.67

For the total magnetization, the calculation gives 0.0 μB per formula unit. Its symmetry is P2/m (10). Its uncorrected formation energy is -14.1 eV/f.u.


Material: Li5Pm2Sb3
Method: DFT, PBE
State: optimized geometry

Cell lengths 4.6103, 7.4133, 13.3437 Å; angles 90.00, 99.95, 90.00 degrees
With the nearest neighbours (Å) after each atom.
Atoms (fractional coordinates):
Li1 0.7155 0.0114 0.4310  3 Sb 2.69-2.75, 2 Li 2.79-2.98
Li2 0.3956 0.4303 0.7912  3 Sb 2.75-2.98, 1 Li 2.98
Li3 0.8724 0.7546 0.7448  4 Sb 2.83-3.12, 1 Li 3.10
Li4 0.2845 0.5114 0.5690  3 Sb 2.69-2.75, 2 Li 2.79-2.98
Li5 0.2967 0.8849 0.5935  4 Sb 2.75-2.85, 1 Li 2.79
Li6 0.7033 0.3849 0.4065  4 Sb 2.75-2.85, 1 Li 2.79
Li7 0.9447 0.0845 0.8895  4 Sb 2.70-2.95
Li8 0.6044 0.9303 0.2088  3 Sb 2.75-2.98, 1 Li 2.98
Li9 0.0553 0.5845 0.1105  4 Sb 2.70-2.95
Li10 0.1276 0.2546 0.2552  4 Sb 2.83-3.12, 1 Li 3.10
Sb1 0.0495 0.9814 0.0991  5 Li 2.75-2.95
Sb2 0.2337 0.1870 0.4675  7 Li 2.69-2.85
Sb3 0.7663 0.6870 0.5325  7 Li 2.69-2.85
Sb4 0.9505 0.4814 0.9009  5 Li 2.75-2.95
Sb5 0.3933 0.0291 0.7866  4 Li 2.70-2.98
Sb6 0.6067 0.5291 0.2134  4 Li 2.70-2.98
Pm1 0.5127 0.2609 0.0254  5 Sb 3.17-3.26, 6 Li 3.20-3.51
Pm2 0.8254 0.2407 0.6508  9 Li 3.24-3.58, 4 Sb 3.31-3.36
Pm3 0.1746 0.7407 0.3492  9 Li 3.24-3.58, 4 Sb 3.31-3.36
Pm4 0.4873 0.7609 0.9746  5 Sb 3.17-3.26, 6 Li 3.20-3.51

For the total magnetization, the calculation gives 0.0 μB per formula unit. Its symmetry is Cmc2_1 (36). Its uncorrected formation energy is -7.1 eV/f.u.


Material: LiPm2Sb
Method: DFT, PBE
State: optimized geometry

Cell lengths 4.2886, 5.0250, 5.0250 Å; angles 90.00, 90.00, 90.00 degrees
With the nearest neighbours (Å) after each atom.
Atoms (fractional coordinates):
Pm1 0.0000 0.5000 0.0000  4 Sb 3.30, 4 Li 3.30, 4 Pm 3.55
Pm2 0.0000 0.0000 0.5000  4 Sb 3.30, 4 Li 3.30, 4 Pm 3.55
Li1 0.5000 0.0000 0.0000  8 Pm 3.30, 4 Sb 3.55
Sb1 0.5000 0.5000 0.5000  8 Pm 3.30, 4 Li 3.55

The energy above the most stable polymorph in this dataset is 0.006 eV per atom. For the total magnetization, the calculation gives 0.0 μB per formula unit. Its symmetry is P4/mmm (123). Its uncorrected formation energy is -2.2 eV/f.u.


Material: LiPmSb3
Method: DFT, PBE
State: optimized geometry

Cell lengths 6.3368, 6.0883, 13.6579 Å; angles 90.00, 90.00, 90.00 degrees
With the nearest neighbours (Å) after each atom.
Atoms (fractional coordinates):
Sb1 0.0000 0.7500 0.5033  4 Sb 3.05-3.17, 4 Pm 3.33-3.34
Sb2 0.7500 0.4978 0.2495  1 Sb 2.91, 2 Li 2.94, 2 Pm 3.14-3.22
Sb3 0.7500 0.9978 0.7505  1 Sb 2.91, 2 Li 2.94, 2 Pm 3.14-3.22
Sb4 0.5000 0.2500 0.4967  4 Sb 3.05-3.17, 4 Pm 3.33-3.34
Sb5 0.2500 0.0022 0.2495  1 Sb 2.91, 2 Li 2.94, 2 Pm 3.14-3.22
Sb6 0.0000 0.2500 0.4967  4 Sb 3.05-3.17, 4 Pm 3.33-3.34
Sb7 0.7500 0.2901 0.9189  3 Sb 2.91-3.21, 4 Li 3.01-3.23
Sb8 0.2500 0.7099 0.0811  3 Sb 2.91-3.21, 4 Li 3.01-3.23
Sb9 0.2500 0.2099 0.9189  3 Sb 2.91-3.21, 4 Li 3.01-3.23
Sb10 0.7500 0.7901 0.0811  3 Sb 2.91-3.21, 4 Li 3.01-3.23
Sb11 0.2500 0.5022 0.7505  1 Sb 2.91, 2 Li 2.94, 2 Pm 3.14-3.22
Sb12 0.5000 0.7500 0.5033  4 Sb 3.05-3.17, 4 Pm 3.33-3.34
Li1 0.0000 0.7500 0.8948  6 Sb 2.94-3.23, 2 Li 3.17
Li2 0.5000 0.7500 0.8948  6 Sb 2.94-3.23, 2 Li 3.17
Li3 0.0000 0.2500 0.1052  6 Sb 2.94-3.23, 2 Li 3.17
Li4 0.5000 0.2500 0.1052  6 Sb 2.94-3.23, 2 Li 3.17
Pm1 0.7500 0.4908 0.6835  9 Sb 3.14-3.44
Pm2 0.2500 0.5092 0.3165  9 Sb 3.14-3.44
Pm3 0.7500 0.9908 0.3165  9 Sb 3.14-3.44
Pm4 0.2500 0.0092 0.6835  9 Sb 3.14-3.44

For the total magnetization, the calculation gives 0.0 μB per formula unit. Its symmetry is Pbcm (57). Its uncorrected formation energy is -3.3 eV/f.u.


Material: Li2PmSb
Method: DFT, PBE
State: optimized geometry

Cell lengths 4.9021, 4.4599, 4.4599 Å; angles 90.00, 90.00, 90.00 degrees
With the nearest neighbours (Å) after each atom.
Atoms (fractional coordinates):
Sb1 0.5000 0.0000 0.0000  4 Pm 3.15, 8 Li 3.31
Li1 0.0000 0.0000 0.5000  4 Li 3.15, 4 Pm 3.31, 4 Sb 3.31
Li2 0.0000 0.5000 0.0000  4 Li 3.15, 4 Pm 3.31, 4 Sb 3.31
Pm1 0.5000 0.5000 0.5000  4 Sb 3.15, 8 Li 3.31

The energy above the most stable polymorph in this dataset is 0.000 eV per atom. For the total magnetization, the calculation gives 0.0 μB per formula unit. Its symmetry is P4/mmm (123). Its uncorrected formation energy is -2.2 eV/f.u.


Material: LiPm2Sb
Method: DFT, PBE
State: optimized geometry

Cell lengths 5.3263, 5.3263, 5.3263 Å; angles 60.00, 60.00, 60.00 degrees
With the nearest neighbours (Å) after each atom.
Atoms (fractional coordinates):
Li1 0.5000 0.5000 0.5000  8 Pm 3.26
Pm1 0.7500 0.7500 0.7500  4 Li 3.26, 4 Sb 3.26
Pm2 0.2500 0.2500 0.2500  4 Li 3.26, 4 Sb 3.26
Sb1 0.0000 0.0000 0.0000  8 Pm 3.26

The energy above the most stable polymorph in this dataset is 0.059 eV per atom. For the total magnetization, the calculation gives 0.0 μB per formula unit. Its symmetry is Fm-3m (225). Its uncorrected formation energy is -2.0 eV/f.u.